[1]
A geometry-optimized Li2MgGeCl6 structure, computed with PBE.

abc: 6.4907 6.4907 17.8534
angles: 90.00 90.00 120.00
Space group R3 (No. 146, hexagonal axes)
One atom of each set of equivalent atoms:
Li: 0.0000 0.0000 0.0000 (multiplicity 3)
Li: 0.0000 0.0000 0.4958 (multiplicity 3)
Mg: 0.0000 0.0000 0.8055 (multiplicity 3)
Ge: 0.0000 0.0000 0.3030 (multiplicity 3)
Cl: 0.0062 0.3253 0.4014 (multiplicity 9)
Cl: 0.0345 0.6781 0.5636 (multiplicity 9)

Output
The density is 2.47 g/cm3. For the uncorrected formation energy, the calculation gives -1.4839 eV per atom.


[2]
A geometry-optimized InHgSb2 structure, computed with PBE.

abc: 3.8334 3.8334 7.8187
angles: 90.00 90.00 90.00
Space group P4mm (No. 99)
One atom of each set of equivalent atoms:
In: 0.0000 0.0000 0.0000 (multiplicity 1)
Hg: 0.5000 0.5000 0.7513 (multiplicity 1)
Sb: 0.0000 0.0000 0.4665 (multiplicity 1)
Sb: 0.5000 0.5000 0.2760 (multiplicity 1)

Output
The density is 8.08 g/cm3. For the energy relative to the lowest polymorph listed for this composition, the calculation gives 0.0424 eV/atom. For the uncorrected formation energy, the calculation gives 0.0851 eV per atom.


[3]
A geometry-optimized NpAlTlO6 structure, computed with PBE.

abc: 5.2919 5.2919 9.5912
angles: 90.00 90.00 120.00
Space group P-31c (No. 163)
One atom of each set of equivalent atoms:
Np: 0.3333 0.6667 0.2500 (multiplicity 2)
Al: 0.3333 0.6667 0.7500 (multiplicity 2)
Tl: 0.0000 0.0000 0.0000 (multiplicity 2)
O: 0.0194 0.3685 0.6393 (multiplicity 12)

Output
The density is 8.06 g/cm3. For the uncorrected formation energy, the calculation gives -2.1546 eV per atom.


[4]
A geometry-optimized Cs2DyTeO6 structure, computed with PBE.

abc: 6.8747 6.8747 5.9003
angles: 90.00 90.00 120.00
Space group P-3m1 (No. 164)
One atom of each set of equivalent atoms:
Cs: 0.3333 0.6667 0.1271 (multiplicity 2)
Dy: 0.0000 0.0000 0.5000 (multiplicity 1)
Te: 0.0000 0.0000 0.0000 (multiplicity 1)
O: 0.1294 0.2588 0.7936 (multiplicity 6)

Output
The density is 4.48 g/cm3. For the uncorrected formation energy, the calculation gives -1.7152 eV per atom.


[5]
A geometry-optimized HfMgIn structure, computed with PBE.

abc: 4.8131 4.8131 3.2250
angles: 90.00 90.00 120.00
Space group P-6m2 (No. 187)
One atom of each set of equivalent atoms:
Hf: 0.0000 0.0000 0.0000 (multiplicity 1)
Mg: 0.3333 0.6667 0.5000 (multiplicity 1)
In: 0.6667 0.3333 0.5000 (multiplicity 1)

Output
The density is 8.15 g/cm3. The formation energy comes out at -0.03 eV/atom.


[6]
A geometry-optimized Li2IF6 structure, computed with PBE.

abc: 5.0471 5.0471 5.0654
angles: 90.00 90.00 120.00
Space group P-31m (No. 162)
One atom of each set of equivalent atoms:
Li: 0.3333 0.6667 0.0000 (multiplicity 2)
I: 0.0000 0.0000 0.5000 (multiplicity 1)
F: 0.0000 0.3262 0.2260 (multiplicity 6)

Output
The density is 3.79 g/cm3. For the uncorrected formation energy, the calculation gives -1.9596 eV per atom.


[7]
A geometry-optimized NaNdAgBi structure, computed with PBE.

abc: 7.6086 7.6086 7.6086
angles: 90.00 90.00 90.00
Space group F-43m (No. 216)
One atom of each set of equivalent atoms:
Na: 0.0000 0.0000 0.0000 (multiplicity 4)
Nd: 0.0000 0.0000 0.5000 (multiplicity 4)
Ag: 0.2500 0.2500 0.2500 (multiplicity 4)
Bi: 0.2500 0.2500 0.7500 (multiplicity 4)

Output
The density is 7.30 g/cm3. The formation energy comes out at -0.39 eV/atom.


[8]
A geometry-optimized Re2PBr structure, computed with PBE.

abc: 4.1922 3.5895 5.8912
angles: 90.00 93.11 90.00
Space group P2/m (No. 10)
One atom of each set of equivalent atoms:
Re: 0.2028 0.0000 0.3730 (multiplicity 2)
P: 0.5000 0.5000 0.5000 (multiplicity 1)
Br: 0.0000 0.5000 0.0000 (multiplicity 1)

Output
The density is 9.07 g/cm3. For the energy relative to the lowest polymorph listed for this composition, the calculation gives 0.2513 eV/atom. For the uncorrected formation energy, the calculation gives 0.5491 eV per atom.


[9]
A geometry-optimized Hf2VCl structure, computed with PBE.

abc: 6.6869 6.6869 6.6869
angles: 90.00 90.00 90.00
Space group Fm-3m (No. 225)
One atom of each set of equivalent atoms:
Hf: 0.2500 0.2500 0.2500 (multiplicity 8)
V: 0.0000 0.0000 0.0000 (multiplicity 4)
Cl: 0.0000 0.0000 0.5000 (multiplicity 4)

Output
The density is 9.85 g/cm3. For the energy relative to the lowest polymorph listed for this composition, the calculation gives 0.0000 eV/atom. For the uncorrected formation energy, the calculation gives 0.4565 eV per atom.